Entry i
A plane-wave DFT calculation with PBE was carried out for a relaxed structure of Li3NpF8.

Lattice parameters (Å, degrees): 5.1822 5.1822 5.1822 90.00 90.00 90.00
Site moments in Bohr magnetons follow the coordinates.
Fractional positions:
F (0.7561, 0.7561, 0.2439)  -0.02
F (0.7561, 0.7561, 0.7561)  -0.02
F (0.2439, 0.2439, 0.2439)  -0.02
F (0.2439, 0.7561, 0.7561)  -0.02
F (0.7561, 0.2439, 0.2439)  -0.02
F (0.2439, 0.7561, 0.2439)  -0.02
F (0.2439, 0.2439, 0.7561)  -0.02
F (0.7561, 0.2439, 0.7561)  -0.02
Li (0.5000, 0.5000, 0.0000)  0.00
Li (0.5000, 0.0000, 0.5000)  0.00
Li (0.0000, 0.5000, 0.5000)  0.00
Np (0.0000, 0.0000, 0.0000)  2.12

---

Entry ii
A plane-wave DFT calculation with PBE was carried out for a relaxed structure of Li3NpF8.

Lattice parameters (Å, degrees): 4.6755 4.6755 6.0383 90.00 90.00 120.00
Site moments in Bohr magnetons follow the coordinates.
Fractional positions:
Li (0.0000, 0.0000, 0.0000)  0.00
Li (0.6667, 0.3333, 0.0003)  0.00
Li (0.3333, 0.6667, 0.9997)  0.00
F (0.3028, 0.3030, 0.1967)  -0.04
F (0.6667, 0.3333, 0.4999)  -0.13
F (0.6970, 0.9998, 0.1967)  -0.04
F (0.9998, 0.3028, 0.8033)  -0.04
F (0.3030, 0.0002, 0.8033)  -0.04
F (0.3333, 0.6667, 0.5001)  -0.13
F (0.0002, 0.6972, 0.1967)  -0.04
F (0.6972, 0.6970, 0.8033)  -0.04
Np (0.0000, 0.0000, 0.5000)  2.45

---

Q: What are the energies relative to the best structure? A: entry i 0.000; entry ii 0.283, in eV/atom.

---

Entry i
A plane-wave DFT calculation with PBE was carried out for a relaxed structure of LiNpF6.

Lattice parameters (Å, degrees): 5.8476 5.8476 5.8476 60.00 60.00 60.00
Site moments in Bohr magnetons follow the coordinates.
Fractional positions:
F (0.7488, 0.2512, 0.2512)  -0.03
F (0.2512, 0.7488, 0.7488)  -0.03
F (0.2512, 0.2512, 0.7488)  -0.03
F (0.7488, 0.7488, 0.2512)  -0.03
F (0.2512, 0.7488, 0.2512)  -0.03
F (0.7488, 0.2512, 0.7488)  -0.03
Np (0.0000, 0.0000, 0.0000)  2.16
Li (0.5000, 0.5000, 0.5000)  0.00

---

Entry ii
A plane-wave DFT calculation with PBE was carried out for a relaxed structure of LiNpF6.

Lattice parameters (Å, degrees): 5.2225 5.2225 9.7563 90.00 90.00 120.00
Site moments in Bohr magnetons follow the coordinates.
Fractional positions:
F (0.3333, 0.0211, 0.6250)  -0.03
F (0.6667, 0.6878, 0.1250)  -0.03
F (0.6878, 0.6667, 0.6250)  -0.03
F (0.0211, 0.6878, 0.3750)  -0.03
F (0.9789, 0.3122, 0.6250)  -0.03
F (0.0211, 0.3333, 0.1250)  -0.03
F (0.6878, 0.0211, 0.8750)  -0.03
F (0.3122, 0.9789, 0.1250)  -0.03
F (0.3122, 0.3333, 0.3750)  -0.03
F (0.6667, 0.9789, 0.3750)  -0.03
F (0.3333, 0.3122, 0.8750)  -0.03
F (0.9789, 0.6667, 0.8750)  -0.03
Li (0.0000, 0.0000, 0.5000)  0.00
Li (0.0000, 0.0000, 0.0000)  0.00
Np (0.6667, 0.3333, 0.7500)  2.16
Np (0.3333, 0.6667, 0.2500)  2.16

---

Q: What are the energies relative to the best structure? A: entry i 0.000; entry ii 0.020, in eV/atom.